# 1
Computed, not measured: crystalline CeY2Tl4 at its relaxed geometry at the PBE-GGA level of DFT.

## Properties
The total magnetic moment comes out at 0.26 μB/atom. The energy above the lowest structure with this stoichiometry comes out at 0.0 meV/atom. Its formation energy is -0.183 eV/atom. As for the total energy: -4.2297 eV per atom.

Cell: 5.2719 5.2719 7.7027 Å, 90.00 90.00 90.00°
Closest atoms and distances in Å follow each position.
Space group P4/mmm (No. 123)
Inequivalent atoms, fractional coordinates:
Ce (0.0000, 0.0000, 0.0000) [1 per cell]  8 Tl 3.37, 4 Y 3.73
Y (0.0000, 0.0000, 0.5000) [1 per cell]  8 Tl 3.17
Y (0.5000, 0.5000, 0.0000) [1 per cell]  8 Tl 3.37, 4 Ce 3.73
Tl (0.0000, 0.5000, 0.2716) [4 per cell]  4 Y 3.17-3.37, 2 Ce 3.37, 1 Tl 3.52

# 2
Computed, not measured: crystalline Ce3Y2Tl6 at its relaxed geometry at the PBE-GGA level of DFT.

## Properties
The total magnetic moment comes out at 0.24 μB/atom. Its formation energy is 0.107 eV/atom. As for the total energy: -3.9768 eV per atom.

Cell: 5.9552 5.9552 22.2658 Å, 90.00 90.00 90.00°
Closest atoms and distances in Å follow each position.
Space group I4/mmm (No. 139)
Inequivalent atoms, fractional coordinates:
Ce (0.0000, 0.0000, 0.0000) [2 per cell]  2 Ce 3.11, 8 Tl 3.38
Ce (0.0000, 0.0000, 0.1397) [4 per cell]  1 Ce 3.11, 5 Tl 3.23-3.34
Y (0.0000, 0.0000, 0.4239) [4 per cell]  5 Tl 2.98-3.10
Tl (0.0000, 0.0000, 0.2847) [4 per cell]  1 Y 3.10, 1 Ce 3.23
Tl (0.0000, 0.5000, 0.0721) [8 per cell]  2 Y 2.98, 1 Tl 3.21

# 3
Computed, not measured: crystalline CeY2Tl at its relaxed geometry at the PBE-GGA level of DFT.

## Properties
The total magnetic moment comes out at 0.11 μB/atom. The energy above the lowest structure with this stoichiometry comes out at 0.0 meV/atom. Its formation energy is -0.150 eV/atom. As for the total energy: -5.4566 eV per atom.

Cell: 3.5950 3.5950 9.0083 Å, 90.00 90.00 90.00°
Closest atoms and distances in Å follow each position.
Space group P4/mmm (No. 123)
Inequivalent atoms, fractional coordinates:
Ce (0.0000, 0.0000, 0.0000) [1 per cell]  8 Y 3.49, 4 Ce 3.60
Y (0.5000, 0.5000, 0.2662) [2 per cell]  4 Tl 3.30, 4 Ce 3.49, 4 Y 3.60
Tl (0.0000, 0.0000, 0.5000) [1 per cell]  8 Y 3.30, 4 Tl 3.60